# 1
A plane-wave DFT calculation with PBE was carried out for Li2Si2Pd5 after structural relaxation.

The final energy comes out at -5.0102 eV per atom. As for the density of states at the Fermi level: 13.10 states/eV per cell. The calculation puts the uncorrected formation energy at -0.495 eV/atom.

The space group is Ima2 (No. 46) and the conventional cell measures 13.346, 7.325 and 5.642 Å, with angles of 90.00, 90.00 and 90.00 degrees. Symmetry generates all atoms from Li at (0.000, 0.000, 0.000), Li at (0.250, 0.043, 0.988), Si at (0.086, 0.528, 0.021), Pd at (0.075, 0.245, 0.256), Pd at (0.150, 0.736, 0.747) and Pd at (0.250, 0.089, 0.498).

# 2
A plane-wave DFT calculation with PBE was carried out for LiLuMg2 after structural relaxation.

The final energy comes out at -2.3804 eV per atom. The relative energy among the computed polymorphs is 0.26 eV/f.u. As for the density of states at the Fermi level: 8.45 states/eV per cell. The value obtained for the calculated formation energy is 26 meV/atom.

The space group is R-3m (No. 166, hexagonal axes) and the conventional cell measures 3.2880, 3.2880 and 31.4241 Å, with angles of 90.00, 90.00 and 120.00 degrees. Symmetry generates all atoms from Li at (0.0000, 0.0000, 0.0000), Lu at (0.0000, 0.0000, 0.5000) and Mg at (0.0000, 0.0000, 0.2549).

# 3
A plane-wave DFT calculation with PBE was carried out for PrDy6Tm2Sc3 after structural relaxation.

The final energy comes out at -4.9817 eV per atom. As for the density of states at the Fermi level: 34.32 states/eV per cell. The value obtained for the calculated formation energy is 46 meV/atom.

The space group is C2/m (No. 12) and the conventional cell measures 6.043, 10.461 and 11.468 Å, with angles of 90.00, 100.10 and 90.00 degrees. Symmetry generates all atoms from Pr at (0.000, 0.000, 0.000), Dy at (0.246, 0.333, 0.740), Dy at (0.247, 0.000, 0.740), Tm at (0.000, 0.333, 0.000), Sc at (0.000, 0.167, 0.500) and Sc at (0.000, 0.500, 0.500).

# 4
A plane-wave DFT calculation with PBE was carried out for FeHW2 after structural relaxation.

The final energy comes out at -8.9791 eV per atom. The relative energy among the computed polymorphs is 0.00 eV/f.u. As for the density of states at the Fermi level: 10.14 states/eV per cell.

The space group is I-42d (No. 122) and the conventional cell measures 5.764, 5.764 and 5.675 Å, with angles of 90.00, 90.00 and 90.00 degrees. Symmetry generates all atoms from Fe at (0.000, 0.000, 0.000), H at (0.000, 0.000, 0.500) and W at (0.183, 0.750, 0.625).

# 5
A plane-wave DFT calculation with PBE was carried out for Tm3AlPt3 after structural relaxation.

The final energy comes out at -6.2448 eV per atom. As for the density of states at the Fermi level: 14.01 states/eV per cell. The value obtained for the calculated formation energy is -1205 meV/atom.

The space group is Cmcm (No. 63) and the conventional cell measures 4.017, 10.406 and 14.012 Å, with angles of 90.00, 90.00 and 90.00 degrees. Symmetry generates all atoms from Tm at (0.000, 0.022, 0.250), Tm at (0.000, 0.295, 0.107), Al at (0.000, 0.000, 0.000), Pt at (0.000, 0.250, 0.750) and Pt at (0.000, 0.419, 0.590).

# 6
A plane-wave DFT calculation with PBE was carried out for Er2ZnSn2 after structural relaxation.

The final energy comes out at -4.2145 eV per atom. As for the density of states at the Fermi level: 3.43 states/eV per cell. The value obtained for the calculated formation energy is -533 meV/atom.

The space group is Cmc2_1 (No. 36) and the conventional cell measures 4.601, 16.369 and 6.825 Å, with angles of 90.00, 90.00 and 90.00 degrees. Symmetry generates all atoms from Er at (0.000, 0.008, 0.000), Er at (0.000, 0.202, 0.281), Zn at (0.000, 0.405, 0.175), Sn at (0.000, 0.173, 0.771) and Sn at (0.000, 0.426, 0.761).